Record 1
# MgSiOs2

A relaxed structure of MgSiOs2 (GGA-PBE, Alexandria via LeMat-Bulk).

Unit cell a=3.0589 b=4.2354 c=4.2354 alpha=90.00 beta=90.00 gamma=90.00
Last column: nearest neighbours and their distance in Å.
Atoms (fractional coordinates):
Si 0.5000 0.5000 0.0000  8 Os 2.61
Os 0.0000 0.0000 0.0000  4 Mg 2.61, 4 Si 2.61
Os 0.0000 0.5000 0.5000  4 Mg 2.61, 4 Si 2.61
Mg 0.5000 0.0000 0.5000  8 Os 2.61

Results
SG: No. 123
Calculated density in Mg/m³: 13.1
E in eV/atom: -7.35
Total magnetic moment in Bohr magnetons per cell: 0.0
N(E_F) in states/eV per atom: 0.83

=====

Record 2
# Zn2Sb2Ru

A relaxed structure of Zn2Sb2Ru (GGA-PBE, Alexandria via LeMat-Bulk).

Unit cell a=6.8137 b=6.8137 c=4.5573 alpha=90.00 beta=90.00 gamma=90.00
Last column: nearest neighbours and their distance in Å.
Atoms (fractional coordinates):
Zn 0.6660 0.8340 0.5000  6 Sb 2.87-3.15, 1 Zn 3.20
Zn 0.8340 0.3340 0.5000  6 Sb 2.87-3.15, 1 Zn 3.20
Zn 0.3340 0.1660 0.5000  6 Sb 2.87-3.15, 1 Zn 3.20
Zn 0.1660 0.6660 0.5000  6 Sb 2.87-3.15, 1 Zn 3.20
Sb 0.6522 0.1522 0.0000  2 Ru 2.59, 2 Zn 2.87
Sb 0.1522 0.3478 0.0000  2 Ru 2.59, 2 Zn 2.87
Sb 0.3478 0.8478 0.0000  2 Ru 2.59, 2 Zn 2.87
Sb 0.8478 0.6522 0.0000  2 Ru 2.59, 2 Zn 2.87
Ru 0.5000 0.5000 0.0000  4 Sb 2.59
Ru 0.0000 0.0000 0.0000  4 Sb 2.59

Results
SG: No. 127
Calculated density in Mg/m³: 7.5
E in eV/atom: -3.71
Total magnetic moment in Bohr magnetons per cell: 0.0
N(E_F) in states/eV per atom: 0.58